DFT (PBE) results for Sr4ZrAl after structural relaxation.

## Properties
Space-group type: F-43m (216)
Calculated formation energy: 0.81 eV/atom

Cell lengths 6.904, 6.904, 6.904 Å; angles 60.00, 60.00, 60.00 degrees
Each line ends with the local moment (μB).
Fractional positions:
Sr (0.874, 0.375, 0.375)  0.11
Sr (0.375, 0.375, 0.874)  0.11
Sr (0.375, 0.874, 0.375)  0.11
Sr (0.375, 0.375, 0.375)  0.11
Zr (0.750, 0.750, 0.750)  1.46
Al (0.000, 0.000, 0.000)  -0.02

***

DFT (PBE) results for Tm2ScCu after structural relaxation.

## Properties
Space-group type: P4/mmm (123)
Calculated formation energy: -0.10 eV/atom

Cell lengths 3.385, 3.385, 8.316 Å; angles 90.00, 90.00, 90.00 degrees
Fractional positions:
Sc (0.500, 0.500, 0.500)
Tm (0.000, 0.000, 0.792)
Tm (0.000, 0.000, 0.208)
Cu (0.500, 0.500, 0.000)

***

DFT (PBE) results for Li2Ga2GeO6 after structural relaxation.

## Properties
Space-group type: C2/m (12)
Raw formation energy: -1.862 eV per atom

Cell lengths 5.071, 5.071, 5.226 Å; angles 99.16, 99.16, 119.60 degrees
Fractional positions:
Li (0.831, 0.169, 0.000)
Li (0.169, 0.831, 0.000)
Ga (0.335, 0.665, 0.500)
Ga (0.665, 0.335, 0.500)
Ge (0.000, 0.000, 0.500)
O (0.754, 0.754, 0.708)
O (0.059, 0.389, 0.715)
O (0.246, 0.246, 0.292)
O (0.389, 0.059, 0.715)
O (0.941, 0.611, 0.285)
O (0.611, 0.941, 0.285)

***

DFT (PBE) results for La4GaPt after structural relaxation.

## Properties
Space-group type: P2_1/m (11)
Calculated formation energy: -0.58 eV/atom

Cell lengths 6.532, 7.150, 8.514 Å; angles 90.00, 109.40, 90.00 degrees
Fractional positions:
La (0.571, 0.250, 0.407)
La (0.429, 0.750, 0.593)
La (0.585, 0.250, 0.881)
La (0.415, 0.750, 0.119)
La (0.991, 0.002, 0.265)
La (0.009, 0.502, 0.735)
La (0.991, 0.498, 0.265)
La (0.009, 0.998, 0.735)
Ga (0.216, 0.250, 0.056)
Ga (0.784, 0.750, 0.944)
Pt (0.231, 0.250, 0.558)
Pt (0.769, 0.750, 0.442)

***

DFT (PBE) results for CrTc2RhN after structural relaxation.

## Properties
Space-group type: P4/mmm (123)
Raw formation energy: -0.067 eV per atom

Cell lengths 4.012, 4.012, 3.868 Å; angles 90.00, 90.00, 90.00 degrees
Fractional positions:
Cr (0.000, 0.000, 0.500)
Rh (0.500, 0.500, 0.500)
Tc (0.000, 0.500, 0.000)
Tc (0.500, 0.000, 0.000)
N (0.000, 0.000, 0.000)

***

DFT (PBE) results for Ac2CuGe3Rh4 after structural relaxation.

## Properties
Space-group type: P-4m2 (115)
Calculated formation energy: -0.75 eV/atom

Cell lengths 4.314, 4.314, 10.499 Å; angles 90.00, 90.00, 90.00 degrees
Fractional positions:
Ac (0.500, 0.000, 0.257)
Ac (0.000, 0.500, 0.743)
Cu (0.500, 0.500, 0.500)
Ge (0.000, 0.000, 0.500)
Ge (0.500, 0.000, 0.875)
Ge (0.000, 0.500, 0.125)
Rh (0.500, 0.500, 0.000)
Rh (0.000, 0.000, 0.000)
Rh (0.500, 0.000, 0.632)
Rh (0.000, 0.500, 0.368)

***

no.,magnetic moment (μB per formula unit),D(E_F) (states/eV per cell)
1,4.33,8.51
2,0.00,6.00
3,0.00,0.00
4,0.00,14.23
5,0.00,6.91
6,0.00,4.70